12
Lattice="-3.850 -2.975 -1.698 2.346 -0.149 -4.583 3.487 -5.637 1.967" Properties=species:S:1:pos:R:3 comment="Pm2BiMoO8 | the Alexandria database | PBE+U | optimized geometry" final_energy_ev_per_atom=-7.17 n_ef_per_ev_atom=0.19 pbc="T T T"
Pm 1.890 -5.831 -1.648
Pm 0.093 -2.930 -2.666
Bi 1.744 -2.819 0.984
Mo 0.000 0.000 0.000
O 1.994 -1.863 -3.641
O 2.390 -7.917 -2.626
O -1.996 -3.686 -1.791
O -0.011 -6.897 -0.673
O -0.407 -0.844 -1.688
O 3.979 -5.075 -2.523
O 0.697 -5.000 -3.406
O 1.286 -3.761 -0.909